1.
A plane-wave DFT calculation with PBE was carried out for LaTiTeC2 after structural relaxation.

The structure in extended XYZ format:
```
5
Lattice="4.357 0.000 0.000 0.000 4.357 0.000 0.000 0.000 6.295" Properties=species:S:1:pos:R:3 pbc="T T T"
La 0.000 0.000 0.000
Ti 0.000 0.000 3.148
Te 2.178 2.178 3.148
C 0.000 2.178 0.000
C 2.178 0.000 0.000
```

Summary:
space group: P4/mmm, No. 123
ΔE_f (raw): 10.4 eV per formula unit

2.
A plane-wave DFT calculation with PBE was carried out for LaTl2TeC after structural relaxation.

The structure in extended XYZ format:
```
5
Lattice="4.996 0.000 0.000 0.000 4.996 0.000 0.000 0.000 5.332" Properties=species:S:1:pos:R:3 pbc="T T T"
La 0.000 0.000 0.000
Tl 0.000 2.498 2.666
Tl 2.498 0.000 2.666
Te 2.498 2.498 0.000
C 0.000 0.000 2.666
```

Summary:
space group: P4/mmm, No. 123
ΔE_f (raw): 0.4 eV per formula unit

3.
A plane-wave DFT calculation with PBE was carried out for La4TlTeC after structural relaxation.

The structure in extended XYZ format:
```
14
Lattice="3.644 -8.262 0.000 3.644 8.262 0.000 0.000 0.000 7.274" Properties=species:S:1:pos:R:3 pbc="T T T"
La 1.822 4.131 0.000
La 1.822 4.131 3.637
La 3.644 6.792 5.455
La 3.644 1.528 5.455
La 1.822 -4.131 0.000
La 1.822 -4.131 3.637
La 3.644 -1.528 1.818
La 3.644 -6.792 1.818
Tl 3.644 6.424 1.818
Tl 3.644 -6.424 5.455
Te 3.644 1.848 1.818
Te 3.644 -1.848 5.455
C 3.644 4.099 5.455
C 3.644 -4.099 1.818
```

Summary:
space group: Cmcm, No. 63
ΔE_f (raw): -4.1 eV per formula unit

4.
A plane-wave DFT calculation with PBE was carried out for LaThC after structural relaxation.

The structure in extended XYZ format:
```
3
Lattice="3.742 0.000 0.000 0.000 3.730 0.000 -0.018 0.000 5.357" Properties=species:S:1:pos:R:3 pbc="T T T"
La 0.000 0.000 0.000
Th 1.862 1.865 2.679
C -0.009 0.000 2.679
```

Summary:
DFT formation energy: -0.2 eV per formula unit
space group: P2/m, No. 10
energy relative to the lowest polymorph listed for this composition: 81 meV/atom

5.
A plane-wave DFT calculation with PBE was carried out for LaTh2C2 after structural relaxation.

The structure in extended XYZ format:
```
5
Lattice="1.863 1.076 9.548 -1.863 1.076 9.548 0.000 -2.151 9.548" Properties=species:S:1:pos:R:3 pbc="T T T"
La 0.000 0.000 0.000
Th 0.000 0.000 6.515
Th 0.000 0.000 22.130
C 0.000 0.000 11.374
C 0.000 0.000 17.270
```

Summary:
DFT formation energy: -0.9 eV per formula unit
space group: R-3m, No. 166
energy relative to the lowest polymorph listed for this composition: 6 meV/atom

6.
A plane-wave DFT calculation with PBE was carried out for LaThC after structural relaxation.

The structure in extended XYZ format:
```
3
Lattice="3.688 0.000 0.000 -1.844 3.194 0.000 0.000 0.000 6.674" Properties=species:S:1:pos:R:3 pbc="T T T"
La 0.000 0.000 0.000
Th 0.000 2.129 2.900
C 1.844 1.065 1.568
```

Summary:
DFT formation energy: -0.5 eV per formula unit
space group: P3m1, No. 156
energy relative to the lowest polymorph listed for this composition: 0 meV/atom

Number 1: density of states at the Fermi level 7.662 states/eV per cell, E -24.0 eV/cell. Number 2: density of states at the Fermi level 2.236 states/eV per cell, E -21.6 eV/cell. Number 3: density of states at the Fermi level 10.727 states/eV per cell, E -77.1 eV/cell. Number 4: density of states at the Fermi level 2.632 states/eV per cell, E -21.8 eV/cell. Number 5: density of states at the Fermi level 3.965 states/eV per cell, E -39.1 eV/cell. Number 6: density of states at the Fermi level 2.555 states/eV per cell, E -22.1 eV/cell.